--- i ---
Here is a relaxed structure of PmMgGa from the Open Quantum Materials Database. Energies are from PBE-GGA.

Computed properties:
Its crystal system is cubic. For the volume, the calculation gives 79.56 Å³/f.u. The space group is F-43m.

```
PmMgGa
1.0
0.000 3.414 3.414
3.414 0.000 3.414
3.414 3.414 0.000
Pm Mg Ga
1 1 1
Direct
0.000 0.000 0.000
0.500 0.500 0.500
0.750 0.750 0.750
```


--- ii ---
Here is a relaxed structure of PmMgGa from the Open Quantum Materials Database. Energies are from PBE-GGA.

Computed properties:
Its crystal system is cubic. For the volume, the calculation gives 86.59 Å³/f.u. The space group is F-43m.

```
PmMgGa
1.0
0.000 3.511 3.511
3.511 0.000 3.511
3.511 3.511 0.000
Pm Mg Ga
1 1 1
Direct
0.000 0.000 0.000
0.250 0.250 0.250
0.750 0.750 0.750
```


Most stable pick: i. Distance to second place: 53.0 kJ/mol of atoms.


--- i ---
Here is a relaxed structure of YMgGaPt from the Open Quantum Materials Database. Energies are from PBE-GGA.

Computed properties:
Its crystal system is cubic. For the volume, the calculation gives 73.85 Å³/f.u. The space group is F-43m.

```
YMgGaPt
1.0
0.000 3.330 3.330
3.330 0.000 3.330
3.330 3.330 0.000
Y Mg Ga Pt
1 1 1 1
Direct
0.000 0.000 0.000
0.250 0.250 0.250
0.750 0.750 0.750
0.500 0.500 0.500
```


--- ii ---
Here is a relaxed structure of YMgGaPt from the Open Quantum Materials Database. Energies are from PBE-GGA.

Computed properties:
Its crystal system is cubic. For the volume, the calculation gives 78.48 Å³/f.u. The space group is F-43m.

```
YMgGaPt
1.0
0.000 3.398 3.398
3.398 0.000 3.398
3.398 3.398 0.000
Y Mg Ga Pt
1 1 1 1
Direct
0.000 0.000 0.000
0.500 0.500 0.500
0.250 0.250 0.250
0.750 0.750 0.750
```


--- iii ---
Here is a relaxed structure of YMgGaPt from the Open Quantum Materials Database. Energies are from PBE-GGA.

Computed properties:
Its crystal system is cubic. For the volume, the calculation gives 75.25 Å³/f.u. The space group is F-43m.

```
YMgGaPt
1.0
0.000 3.351 3.351
3.351 0.000 3.351
3.351 3.351 0.000
Y Mg Ga Pt
1 1 1 1
Direct
0.000 0.000 0.000
0.250 0.250 0.250
0.500 0.500 0.500
0.750 0.750 0.750
```


Most stable pick: ii. Distance to second place: 10.5 kJ/mol of atoms.